[1]
# PBE-GGA LiGdPuRu, relaxed
# total magnetic moment	12.66	μB per formula unit
# energy of formation	-62	meV per atom
# density of states at the Fermi level	2.452	states/eV per atom
data_LiGdPuRu
_chemical_formula_sum 'Li4 Gd4 Pu4 Ru4'
_cell_length_a 6.951
_cell_length_b 6.951
_cell_length_c 6.951
_cell_angle_alpha 90.00
_cell_angle_beta 90.00
_cell_angle_gamma 90.00
_space_group_name_H-M_alt 'F -4 3 m'
_space_group_IT_number 216
_space_group_name_Hall 'F -4 2 3'
loop_
_atom_site_label
_atom_site_type_symbol
_atom_site_fract_x
_atom_site_fract_y
_atom_site_fract_z
Li1 Li 0.000 0.000 0.000
Gd1 Gd 0.250 0.250 0.250
Pu1 Pu 0.250 0.250 0.750
Ru1 Ru 0.000 0.000 0.500

***

[2]
# PBE-GGA Tb2PrSnC, relaxed
# total magnetic moment	0.00	μB per formula unit
# energy of formation	-541	meV per atom
# density of states at the Fermi level	0.464	states/eV per atom
data_Tb2PrSnC
_chemical_formula_sum 'Tb2 Pr1 Sn1 C1'
_cell_length_a 4.940
_cell_length_b 4.940
_cell_length_c 5.140
_cell_angle_alpha 90.00
_cell_angle_beta 90.00
_cell_angle_gamma 90.00
_space_group_name_H-M_alt 'P 4/m m m'
_space_group_IT_number 123
_space_group_name_Hall '-P 4 2'
loop_
_atom_site_label
_atom_site_type_symbol
_atom_site_fract_x
_atom_site_fract_y
_atom_site_fract_z
Tb1 Tb 0.000 0.500 0.000
Pr1 Pr 0.000 0.000 0.500
Sn1 Sn 0.500 0.500 0.500
C1 C 0.000 0.000 0.000

***

[3]
# PBE-GGA TbDy3Ag4, relaxed
# total magnetic moment	0.00	μB per formula unit
# energy of formation	-319	meV per atom
# density of states at the Fermi level	0.592	states/eV per atom
data_TbDy3Ag4
_chemical_formula_sum 'Tb1 Dy3 Ag4'
_cell_length_a 3.621
_cell_length_b 5.163
_cell_length_c 10.326
_cell_angle_alpha 90.00
_cell_angle_beta 90.00
_cell_angle_gamma 90.00
_space_group_name_H-M_alt 'P m m m'
_space_group_IT_number 47
_space_group_name_Hall '-P 2 2'
loop_
_atom_site_label
_atom_site_type_symbol
_atom_site_fract_x
_atom_site_fract_y
_atom_site_fract_z
Tb1 Tb 0.000 0.000 0.000
Dy1 Dy 0.000 0.000 0.500
Dy2 Dy 0.000 0.500 0.250
Ag1 Ag 0.500 0.000 0.251
Ag2 Ag 0.500 0.500 0.000
Ag3 Ag 0.500 0.500 0.500

***

[4]
# PBE-GGA BeCdAu2, relaxed
# total magnetic moment	0.00	μB per formula unit
# energy of formation	-156	meV per atom
# density of states at the Fermi level	0.224	states/eV per atom
# relative energy among the computed polymorphs	0	meV/atom
data_BeCdAu2
_chemical_formula_sum 'Be1 Cd1 Au2'
_cell_length_a 2.985
_cell_length_b 3.039
_cell_length_c 7.110
_cell_angle_alpha 90.00
_cell_angle_beta 90.06
_cell_angle_gamma 90.00
_space_group_name_H-M_alt 'P 1 2/m 1'
_space_group_IT_number 10
_space_group_name_Hall '-P 2y'
loop_
_atom_site_label
_atom_site_type_symbol
_atom_site_fract_x
_atom_site_fract_y
_atom_site_fract_z
Be1 Be 0.000 0.000 0.000
Cd1 Cd 0.000 0.000 0.500
Au1 Au 0.500 0.500 0.199

***

[5]
# PBE-GGA MoRuRh2, relaxed
# total magnetic moment	0.00	μB per formula unit
# energy of formation	-27	meV per atom
# density of states at the Fermi level	1.230	states/eV per atom
# relative energy among the computed polymorphs	181	meV/atom
data_MoRuRh2
_chemical_formula_sum 'Mo1 Ru1 Rh2'
_cell_length_a 2.742
_cell_length_b 2.742
_cell_length_c 7.740
_cell_angle_alpha 90.00
_cell_angle_beta 90.00
_cell_angle_gamma 90.00
_space_group_name_H-M_alt 'P 4 m m'
_space_group_IT_number 99
_space_group_name_Hall 'P 4 -2'
loop_
_atom_site_label
_atom_site_type_symbol
_atom_site_fract_x
_atom_site_fract_y
_atom_site_fract_z
Mo1 Mo 0.000 0.000 0.000
Ru1 Ru 0.500 0.500 0.745
Rh1 Rh 0.000 0.000 0.505
Rh2 Rh 0.500 0.500 0.245

***

[6]
# PBE-GGA La5Os2Pt, relaxed
# total magnetic moment	0.00	μB per formula unit
# energy of formation	-406	meV per atom
# density of states at the Fermi level	0.731	states/eV per atom
data_La5Os2Pt
_chemical_formula_sum 'La20 Os8 Pt4'
_cell_length_a 7.890
_cell_length_b 7.890
_cell_length_c 13.861
_cell_angle_alpha 90.00
_cell_angle_beta 90.00
_cell_angle_gamma 90.00
_space_group_name_H-M_alt 'I 4/m c m'
_space_group_IT_number 140
_space_group_name_Hall '-I 4 2c'
loop_
_atom_site_label
_atom_site_type_symbol
_atom_site_fract_x
_atom_site_fract_y
_atom_site_fract_z
La1 La 0.000 0.000 0.000
La2 La 0.168 0.332 0.136
Os1 Os 0.133 0.367 0.500
Pt1 Pt 0.000 0.000 0.250

***

[7]
# PBE-GGA La3PmY2, relaxed
# total magnetic moment	0.00	μB per formula unit
# energy of formation	17	meV per atom
# density of states at the Fermi level	1.553	states/eV per atom
# relative energy among the computed polymorphs	0	meV/atom
data_La3PmY2
_chemical_formula_sum 'La12 Pm4 Y8'
_cell_length_a 10.377
_cell_length_b 7.297
_cell_length_c 12.207
_cell_angle_alpha 90.00
_cell_angle_beta 115.11
_cell_angle_gamma 90.00
_space_group_name_H-M_alt 'C 1 2/c 1'
_space_group_IT_number 15
_space_group_name_Hall '-C 2yc'
loop_
_atom_site_label
_atom_site_type_symbol
_atom_site_fract_x
_atom_site_fract_y
_atom_site_fract_z
La1 La 0.000 0.125 0.250
La2 La 0.167 0.125 0.583
Pm1 Pm 0.000 0.375 0.750
Y1 Y 0.166 0.375 0.082

***

[8]
# PBE-GGA AlZnPb2, relaxed
# total magnetic moment	0.00	μB per formula unit
# energy of formation	129	meV per atom
# density of states at the Fermi level	0.336	states/eV per atom
data_AlZnPb2
_chemical_formula_sum 'Al1 Zn1 Pb2'
_cell_length_a 3.443
_cell_length_b 3.731
_cell_length_c 7.842
_cell_angle_alpha 90.00
_cell_angle_beta 90.00
_cell_angle_gamma 90.00
_space_group_name_H-M_alt 'P m m 2'
_space_group_IT_number 25
_space_group_name_Hall 'P 2 -2'
loop_
_atom_site_label
_atom_site_type_symbol
_atom_site_fract_x
_atom_site_fract_y
_atom_site_fract_z
Al1 Al 0.000 0.000 0.000
Zn1 Zn 0.500 0.500 0.845
Pb1 Pb 0.000 0.000 0.615
Pb2 Pb 0.500 0.500 0.234

***

[9]
# PBE-GGA CsNaHg2Bi, relaxed
# total magnetic moment	0.00	μB per formula unit
# energy of formation	-140	meV per atom
# density of states at the Fermi level	0.382	states/eV per atom
# relative energy among the computed polymorphs	135	meV/atom
data_CsNaHg2Bi
_chemical_formula_sum 'Cs1 Na1 Hg2 Bi1'
_cell_length_a 6.079
_cell_length_b 6.079
_cell_length_c 5.938
_cell_angle_alpha 90.00
_cell_angle_beta 90.00
_cell_angle_gamma 90.00
_space_group_name_H-M_alt 'P 4/m m m'
_space_group_IT_number 123
_space_group_name_Hall '-P 4 2'
loop_
_atom_site_label
_atom_site_type_symbol
_atom_site_fract_x
_atom_site_fract_y
_atom_site_fract_z
Cs1 Cs 0.000 0.000 0.000
Na1 Na 0.500 0.500 0.000
Hg1 Hg 0.000 0.500 0.500
Bi1 Bi 0.500 0.500 0.500

***

[10]
# PBE-GGA KP2AuO, relaxed
# total magnetic moment	1.36	μB per formula unit
# E_form (uncorrected)	51	kJ per mole of atoms
# density of states at the Fermi level	0.862	states/eV per atom
# relative energy among the computed polymorphs	0	meV/atom
data_KP2AuO
_chemical_formula_sum 'K1 P2 Au1 O1'
_cell_length_a 4.862
_cell_length_b 4.862
_cell_length_c 4.587
_cell_angle_alpha 90.00
_cell_angle_beta 90.00
_cell_angle_gamma 90.00
_space_group_name_H-M_alt 'P 4/m m m'
_space_group_IT_number 123
_space_group_name_Hall '-P 4 2'
loop_
_atom_site_label
_atom_site_type_symbol
_atom_site_fract_x
_atom_site_fract_y
_atom_site_fract_z
K1 K 0.000 0.000 0.000
P1 P 0.000 0.500 0.500
Au1 Au 0.500 0.500 0.500
O1 O 0.500 0.500 0.000

***

[11]
# PBE-GGA CdCuBr4, relaxed
# total magnetic moment	1.02	μB per formula unit
# E_form (uncorrected)	-52	kJ per mole of atoms
# density of states at the Fermi level	0.090	states/eV per atom
# relative energy among the computed polymorphs	0	meV/atom
data_CdCuBr4
_chemical_formula_sum 'Cd2 Cu2 Br8'
_cell_length_a 6.655
_cell_length_b 4.095
_cell_length_c 14.708
_cell_angle_alpha 90.00
_cell_angle_beta 114.29
_cell_angle_gamma 90.00
_space_group_name_H-M_alt 'P 1 21/c 1'
_space_group_IT_number 14
_space_group_name_Hall '-P 2ybc'
loop_
_atom_site_label
_atom_site_type_symbol
_atom_site_fract_x
_atom_site_fract_y
_atom_site_fract_z
Cd1 Cd 0.000 0.000 0.000
Cu1 Cu 0.500 0.000 0.500
Br1 Br 0.231 0.110 0.886
Br2 Br 0.301 0.501 0.111

***

[12]
# PBE-GGA RbGeSbI2, relaxed
# total magnetic moment	4.01	μB per formula unit
# E_form (uncorrected)	72	kJ per mole of atoms
# density of states at the Fermi level	0.925	states/eV per atom
# relative energy among the computed polymorphs	1037	meV/atom
data_RbGeSbI2
_chemical_formula_sum 'Rb1 Ge1 Sb1 I2'
_cell_length_a 6.791
_cell_length_b 6.791
_cell_length_c 6.811
_cell_angle_alpha 90.00
_cell_angle_beta 90.00
_cell_angle_gamma 90.00
_space_group_name_H-M_alt 'P 4/m m m'
_space_group_IT_number 123
_space_group_name_Hall '-P 4 2'
loop_
_atom_site_label
_atom_site_type_symbol
_atom_site_fract_x
_atom_site_fract_y
_atom_site_fract_z
Rb1 Rb 0.000 0.000 0.000
Ge1 Ge 0.500 0.500 0.500
Sb1 Sb 0.000 0.000 0.500
I1 I 0.000 0.500 0.000

***

[13]
# PBE-GGA AlTl2CrNi, relaxed
# total magnetic moment	4.29	μB per formula unit
# energy of formation	1184	meV per atom
# density of states at the Fermi level	1.594	states/eV per atom
data_AlTl2CrNi
_chemical_formula_sum 'Al1 Tl2 Cr1 Ni1'
_cell_length_a 5.228
_cell_length_b 5.228
_cell_length_c 4.897
_cell_angle_alpha 90.00
_cell_angle_beta 90.00
_cell_angle_gamma 90.00
_space_group_name_H-M_alt 'P 4/m m m'
_space_group_IT_number 123
_space_group_name_Hall '-P 4 2'
loop_
_atom_site_label
_atom_site_type_symbol
_atom_site_fract_x
_atom_site_fract_y
_atom_site_fract_z
Al1 Al 0.000 0.000 0.000
Tl1 Tl 0.000 0.500 0.000
Cr1 Cr 0.000 0.000 0.500
Ni1 Ni 0.500 0.500 0.500